Entry 1:
Computed, not measured: an optimized crystal structure of Pt3Br at the PBE level of DFT.

Values from the calculation:
uncorrected formation energy	359	kJ/mol of formula units
distance to the lowest polymorph of the same formula	555.6	meV per atom
volume	17.77	Å³/atom
total moment	0.0001	μB/atom

Cell: 5.2188 5.2188 5.2188 Å, 90.00 90.00 90.00°
Fractional coordinates of all 8 atoms:
Pt 0.0000 0.2500 0.5000
Pt 0.0000 0.7500 0.5000
Pt 0.2500 0.5000 0.0000
Pt 0.5000 0.0000 0.2500
Pt 0.5000 0.0000 0.7500
Pt 0.7500 0.5000 0.0000
Br 0.0000 0.0000 0.0000
Br 0.5000 0.5000 0.5000



Entry 2:
Computed, not measured: an optimized crystal structure of RbRuCl2 at the PBE level of DFT.

Values from the calculation:
uncorrected formation energy	-115	kJ/mol of formula units
distance to the lowest polymorph of the same formula	49.7	meV per atom
volume	41.08	Å³/atom
total moment	0.7500	μB/atom

Cell: 4.9093 4.9093 23.6176 Å, 90.00 90.00 120.00°
Fractional coordinates of all 12 atoms:
Rb 0.0000 0.0000 0.0000
Rb 0.3333 0.6667 0.6667
Rb 0.6667 0.3333 0.3333
Ru 0.0000 0.0000 0.5000
Ru 0.3333 0.6667 0.1667
Ru 0.6667 0.3333 0.8333
Cl 0.0000 0.0000 0.4021
Cl 0.0000 0.0000 0.5979
Cl 0.3333 0.6667 0.0687
Cl 0.3333 0.6667 0.2646
Cl 0.6667 0.3333 0.7354
Cl 0.6667 0.3333 0.9313



Repeat the first record exactly.
Computed, not measured: an optimized crystal structure of Pt3Br at the PBE level of DFT.

Values from the calculation:
uncorrected formation energy	359	kJ/mol of formula units
distance to the lowest polymorph of the same formula	555.6	meV per atom
volume	17.77	Å³/atom
total moment	0.0001	μB/atom

Cell: 5.2188 5.2188 5.2188 Å, 90.00 90.00 90.00°
Fractional coordinates of all 8 atoms:
Pt 0.0000 0.2500 0.5000
Pt 0.0000 0.7500 0.5000
Pt 0.2500 0.5000 0.0000
Pt 0.5000 0.0000 0.2500
Pt 0.5000 0.0000 0.7500
Pt 0.7500 0.5000 0.0000
Br 0.0000 0.0000 0.0000
Br 0.5000 0.5000 0.5000



The lowest distance to the lowest polymorph of the same formula belongs to which entry?
RbRuCl2



Among the records above, which one has the lowest volume?
Pt3Br



Look up the volume of the first one.
17.77 Å³/atom